5
Lattice="4.838 0.000 0.000 0.000 4.838 0.000 0.000 0.000 4.838" Properties=species:S:1:pos:R:3 comment="TiCu3I, relaxed, DFT GGA-PBE" raw_formation_energy_kj_per_mol_atoms=109 volume_a3_per_fu=113 space_group="No. 221" pbc="T T T"
I 2.419 2.419 2.419
Cu 0.000 2.419 0.000
Cu 0.000 0.000 2.419
Cu 2.419 0.000 0.000
Ti 0.000 0.000 0.000

=====

26
Lattice="-6.013 1.929 -7.103 -10.604 -4.151 1.490 -7.352 8.838 2.266" Properties=species:S:1:pos:R:3 comment="TiCu3I9, relaxed, DFT GGA-PBE" raw_formation_energy_kj_per_mol_atoms=-28 volume_a3_per_fu=522 space_group="No. 9" pbc="T T T"
Ti -5.343 -1.944 0.705
Ti -17.223 1.331 -0.845
Cu -15.595 5.091 -3.323
Cu -7.722 3.102 -6.506
Cu -15.923 3.528 3.157
Cu -8.304 1.620 -0.326
Cu -11.739 6.263 -1.842
Cu -12.643 -0.464 -1.377
I -6.566 2.708 -1.862
I -13.845 4.506 2.024
I -12.218 7.548 0.408
I -14.536 1.275 -0.798
I -6.949 6.247 0.233
I -7.641 -0.548 0.949
I -11.853 -1.089 -3.842
I -9.412 5.144 -2.490
I -17.295 0.922 -3.737
I -16.092 7.553 -3.850
I -17.361 3.945 -1.745
I -9.861 2.076 -5.369
I -10.646 1.220 -1.383
I -10.903 8.319 -3.219
I -13.216 4.413 -2.753
I -12.552 -2.817 -0.436
I -15.956 -2.096 -4.421
I -9.941 2.991 1.152

=====

9
Lattice="-5.174 -1.780 -0.119 -1.198 -5.280 5.218 -3.855 2.144 9.707" Properties=species:S:1:pos:R:3 comment="TlCu2I6, relaxed, DFT GGA-PBE" raw_formation_energy_kj_per_mol_atoms=-14 volume_a3_per_fu=341 space_group="No. 12" pbc="T T T"
Tl -2.526 -1.568 7.463
Cu -5.254 -2.340 11.788
Cu -4.972 -2.575 3.018
I -8.003 -2.767 11.830
I -2.223 -2.149 2.976
I -6.738 -6.076 6.339
I -4.924 -3.136 9.345
I -3.488 1.161 8.468
I -5.302 -1.779 5.461

=====

18
Lattice="6.012 0.000 0.090 0.000 11.095 0.000 -0.276 0.000 12.515" Properties=species:S:1:pos:R:3 comment="Tl2CuI6, relaxed, DFT GGA-PBE" raw_formation_energy_kj_per_mol_atoms=-26 volume_a3_per_fu=418 space_group="No. 14" pbc="T T T"
Tl 5.551 3.719 9.496
Tl 3.053 9.267 9.412
Tl 2.683 1.828 3.193
Tl 0.185 7.376 3.109
Cu 3.006 5.547 0.045
Cu -0.138 0.000 6.258
I 5.712 10.940 3.914
I 4.897 7.480 6.597
I 5.043 8.725 0.122
I 3.837 3.178 6.271
I 3.707 1.932 12.312
I 3.167 5.392 2.479
I 0.023 0.155 8.691
I 0.839 3.615 6.009
I 0.692 2.370 12.484
I 1.899 7.917 6.335
I 2.029 9.162 0.294
I 2.568 5.703 10.127

=====

12
Lattice="-1.660 -0.686 3.914 -7.116 0.578 -2.916 2.610 -13.144 -1.196" Properties=species:S:1:pos:R:3 comment="TlCu2I3, relaxed, DFT GGA-PBE" raw_formation_energy_kj_per_mol_atoms=-26 volume_a3_per_fu=218 space_group="No. 11" pbc="T T T"
Tl -3.613 -10.638 -2.211
Tl -2.552 -2.614 2.013
Cu -2.628 -5.723 -0.933
Cu -3.537 -7.529 0.735
Cu 0.180 -11.543 1.607
Cu -6.345 -1.709 -1.805
I -5.857 -8.832 -0.477
I -0.309 -4.420 0.279
I -4.635 -5.139 0.688
I -1.530 -8.113 -0.886
I 0.325 -12.302 -0.833
I -6.491 -0.949 0.635

=====

12
Lattice="9.073 0.803 0.572 1.866 7.761 0.284 1.866 2.803 7.243" Properties=species:S:1:pos:R:3 comment="Tl2CuI3, relaxed, DFT GGA-PBE" raw_formation_energy_kj_per_mol_atoms=-44 volume_a3_per_fu=244 space_group="No. 15" pbc="T T T"
Tl 7.197 3.195 4.219
Tl 2.660 4.629 1.355
Tl 10.146 6.738 6.743
Tl 5.609 8.173 3.880
Cu 8.671 7.839 1.448
Cu 4.135 3.528 6.650
I 4.135 5.012 4.567
I 8.671 6.356 3.531
I 11.770 9.879 6.606
I 5.572 2.298 1.206
I 7.234 9.069 6.893
I 1.036 1.489 1.492

=====

16
Lattice="4.326 0.000 0.000 0.000 7.691 0.000 0.000 0.000 17.153" Properties=species:S:1:pos:R:3 comment="TlCuI2, relaxed, DFT GGA-PBE" raw_formation_energy_kj_per_mol_atoms=-37 volume_a3_per_fu=143 space_group="No. 62" pbc="T T T"
Tl 3.245 0.063 11.469
Tl 1.082 7.628 5.684
Tl 3.245 3.908 14.260
Tl 1.082 3.782 2.892
Cu 3.245 7.052 0.543
Cu 3.245 3.207 8.033
Cu 1.082 0.639 16.610
Cu 1.082 4.484 9.119
I 1.082 5.097 11.737
I 3.245 2.594 5.415
I 1.082 1.251 13.992
I 3.245 6.439 3.161
I 1.082 1.873 8.949
I 3.245 1.973 0.373
I 1.082 5.718 16.780
I 3.245 5.818 8.204

=====

8
Lattice="-4.721 6.041 1.650 -0.689 -2.555 7.382 1.128 4.390 5.790" Properties=species:S:1:pos:R:3 comment="TlCuI2, relaxed, DFT GGA-PBE" raw_formation_energy_kj_per_mol_atoms=-34 volume_a3_per_fu=148 space_group="No. 122" pbc="T T T"
I -2.352 4.039 3.261
I -1.141 0.770 6.408
I -1.241 4.382 8.359
I -3.828 6.560 11.617
Tl 0.000 0.000 0.000
Tl -3.149 6.087 5.978
Cu -2.705 1.743 4.516
Cu -1.133 1.789 8.844

=====

18
Lattice="6.672 -0.007 -2.310 -3.706 10.578 0.099 0.128 0.425 11.200" Properties=species:S:1:pos:R:3 comment="TlCu2I6, relaxed, DFT GGA-PBE" raw_formation_energy_kj_per_mol_atoms=-17 volume_a3_per_fu=398 space_group="No. 15" pbc="T T T"
Tl -1.080 8.040 2.294
Tl 4.174 2.956 6.694
Cu -0.474 3.507 1.755
Cu -0.339 9.004 6.735
Cu 3.568 7.488 7.233
Cu 3.433 1.992 2.253
I 1.040 1.945 3.151
I -0.670 7.435 8.762
I 2.054 9.050 5.837
I 3.765 3.561 0.225
I 5.202 2.823 3.998
I 2.363 5.165 7.120
I -2.108 8.173 4.990
I 0.732 5.831 1.867
I -0.026 3.090 10.495
I 2.490 0.745 7.481
I 3.121 7.906 -1.507
I 0.604 10.251 1.507

=====

18
Lattice="6.933 0.081 2.377 3.666 11.380 0.034 -0.288 -0.043 11.952" Properties=species:S:1:pos:R:3 comment="Tl2CuI6, relaxed, DFT GGA-PBE" raw_formation_energy_kj_per_mol_atoms=-24 volume_a3_per_fu=473 space_group="No. 15" pbc="T T T"
Tl 3.155 7.426 10.381
Tl 2.964 1.857 4.980
Tl 7.155 3.993 3.983
Tl 7.347 9.561 9.383
Cu 2.408 2.760 9.643
Cu 7.902 8.658 4.720
I 4.453 9.384 8.412
I 3.064 3.939 2.733
I 5.858 2.034 5.951
I 7.246 7.480 11.631
I 9.015 8.778 7.050
I 6.186 6.794 4.211
I 1.296 2.641 7.314
I 4.125 4.624 10.153
I 3.291 8.511 1.212
I 6.182 10.461 4.040
I 7.020 2.908 13.152
I 4.129 0.958 10.324

=====

4
Lattice="5.503 0.000 0.000 2.752 4.766 0.000 2.752 1.589 8.118" Properties=species:S:1:pos:R:3 comment="TlCuI2, relaxed, DFT GGA-PBE" raw_formation_energy_kj_per_mol_atoms=-31 volume_a3_per_fu=213 space_group="No. 166" pbc="T T T"
I 2.752 1.589 5.706
I 8.255 4.766 2.412
Tl 5.503 3.177 4.059
Cu 0.000 0.000 0.000

=====

16
Lattice="7.010 0.000 0.000 0.000 10.243 0.000 0.000 0.000 10.019" Properties=species:S:1:pos:R:3 comment="Tl3CuI4, relaxed, DFT GGA-PBE" raw_formation_energy_kj_per_mol_atoms=-46 volume_a3_per_fu=360 space_group="No. 31" pbc="T T T"
Tl 3.970 9.192 0.000
Tl 0.456 6.731 1.977
Tl 3.961 3.512 3.033
Tl 0.465 1.051 5.010
Tl 3.961 3.512 6.986
Tl 0.456 6.731 8.042
Cu 6.865 2.046 0.000
Cu 3.360 8.197 5.010
I 0.494 9.729 0.000
I 4.235 2.356 0.000
I 0.578 3.236 2.273
I 4.083 7.007 2.737
I 0.730 7.887 5.010
I 3.999 0.515 5.010
I 4.083 7.007 7.282
I 0.578 3.236 7.746

=====

20
Lattice="-1.794 -0.510 7.961 -5.959 -5.831 -1.716 7.452 -8.243 2.135" Properties=species:S:1:pos:R:3 comment="Tl3CuI6, relaxed, DFT GGA-PBE" raw_formation_energy_kj_per_mol_atoms=-35 volume_a3_per_fu=392 space_group="No. 14" pbc="T T T"
Tl -0.695 -11.910 4.294
Tl -3.876 -3.171 3.123
Tl 0.395 -2.675 4.086
Tl -1.570 -5.621 -0.191
Tl 3.726 -4.122 1.067
Tl 1.270 -8.964 8.571
Cu -0.150 -7.292 4.190
Cu 0.000 0.000 0.000
I 4.687 -9.434 7.380
I 1.631 -6.151 6.363
I -1.884 -5.387 4.559
I 1.584 -9.198 3.821
I -1.932 -8.434 2.017
I -4.987 -5.150 1.000
I 1.250 -5.652 2.157
I -1.673 -2.239 1.178
I 5.486 -6.566 2.437
I -5.786 -8.019 5.943
I 1.372 -12.346 7.202
I -1.550 -8.933 6.223

=====

4
Lattice="-0.453 -2.482 5.018 -4.175 -3.630 0.971 1.110 -5.480 0.533" Properties=species:S:1:pos:R:3 comment="TlCuI2, relaxed, DFT GGA-PBE" raw_formation_energy_kj_per_mol_atoms=7 volume_a3_per_fu=125 space_group="No. 225" pbc="T T T"
I -0.879 -2.898 1.631
I -2.638 -8.694 4.892
Tl -1.759 -5.796 3.261
Cu 0.000 0.000 0.000

=====

24
Lattice="-7.863 3.801 -3.221 -3.557 0.214 8.937 3.816 8.999 1.304" Properties=species:S:1:pos:R:3 comment="Tl2CuI3, relaxed, DFT GGA-PBE" raw_formation_energy_kj_per_mol_atoms=-47 volume_a3_per_fu=221 space_group="No. 58" pbc="T T T"
Tl -0.619 8.402 7.232
Tl -5.376 8.503 5.515
Tl -8.703 4.716 4.102
Tl -4.069 4.621 6.129
Tl -6.986 4.612 -0.212
Tl -2.228 4.511 1.505
Tl 1.098 8.298 2.918
Tl -3.536 8.393 0.891
Cu -6.077 7.015 -2.587
Cu -4.886 2.953 3.164
Cu 2.030 5.785 0.670
Cu -2.719 10.061 3.856
I -0.784 4.661 7.415
I -6.576 2.059 5.032
I 1.043 4.552 2.826
I -4.845 1.955 0.684
I -2.085 7.501 4.170
I -3.614 10.767 -1.696
I -5.519 5.513 2.850
I -0.433 2.033 -0.221
I -5.115 10.784 2.885
I -0.060 7.231 -0.197
I -2.489 2.230 4.135
I -3.987 5.569 -1.720

=====

12
Lattice="4.316 0.000 0.000 0.000 8.043 -1.177 -2.158 -3.628 12.789" Properties=species:S:1:pos:R:3 comment="TlCu2I3, relaxed, DFT GGA-PBE" raw_formation_energy_kj_per_mol_atoms=-28 volume_a3_per_fu=213 space_group="No. 12" pbc="T T T"
Tl 0.000 -1.936 9.227
Tl 2.158 6.351 2.386
Cu 0.000 2.790 6.461
Cu 2.158 1.625 5.152
Cu 2.158 3.855 10.422
Cu 0.000 0.560 1.191
I 0.000 0.212 5.932
I 0.000 6.004 -0.132
I 0.000 2.876 9.151
I 2.158 4.203 5.681
I 2.158 1.539 2.461
I 2.158 -1.588 11.744

=====

10
Lattice="4.194 0.000 0.000 0.000 10.871 0.466 0.000 -1.981 8.255" Properties=species:S:1:pos:R:3 comment="TlCuI3, relaxed, DFT GGA-PBE" raw_formation_energy_kj_per_mol_atoms=-28 volume_a3_per_fu=190 space_group="No. 11" pbc="T T T"
Tl 1.049 2.751 1.774
Tl 3.146 6.140 6.947
Cu 1.049 7.085 2.811
Cu 3.146 1.805 5.910
I 3.146 5.537 2.422
I 1.049 3.353 6.299
I 3.146 -0.139 7.587
I 1.049 8.044 5.188
I 1.049 9.030 1.134
I 3.146 0.846 3.533

=====

24
Lattice="6.954 0.000 0.000 0.000 7.198 0.000 0.000 0.000 16.968" Properties=species:S:1:pos:R:3 comment="TlCu4I7, relaxed, DFT GGA-PBE" raw_formation_energy_kj_per_mol_atoms=-21 volume_a3_per_fu=425 space_group="No. 31" pbc="T T T"
Tl 3.578 7.010 8.484
Tl 0.101 0.188 0.000
Cu 4.119 4.769 14.850
Cu 0.606 5.942 4.321
Cu 4.083 1.255 4.163
Cu 0.642 2.428 10.602
Cu 0.642 2.428 6.366
Cu 4.119 4.769 2.118
Cu 0.606 5.942 12.647
Cu 4.083 1.255 12.805
I 6.727 4.807 2.147
I 3.250 2.391 6.337
I 3.241 2.367 14.952
I 6.718 4.831 10.500
I 6.718 4.831 6.468
I 3.241 2.367 2.016
I 3.216 5.988 12.734
I 6.693 1.210 12.718
I 6.693 1.210 4.250
I 3.216 5.988 4.234
I 3.406 6.110 0.000
I 6.883 1.088 8.484
I 6.727 4.807 14.821
I 3.250 2.391 10.631

=====

8
Lattice="5.846 0.000 0.000 -2.923 7.232 1.229 0.000 -0.062 8.070" Properties=species:S:1:pos:R:3 comment="TlCuI2, relaxed, DFT GGA-PBE" raw_formation_energy_kj_per_mol_atoms=-31 volume_a3_per_fu=171 space_group="No. 12" pbc="T T T"
Tl 2.923 3.597 2.641
Tl 0.000 3.573 6.658
Cu 0.000 0.000 0.000
Cu 2.923 -0.031 4.035
I 0.000 5.443 3.596
I 2.923 1.727 5.703
I 2.923 5.389 7.654
I 0.000 1.781 1.645